No. 1
LiTb2ThHg4: relaxed, PBE.

The density of states at the Fermi level comes out at 7.10 states/eV/f.u. The value obtained for the total energy is -22.75 eV for the cell shown. The value obtained for the spin magnetization is 0.000 μB/f.u.

Structure (POSCAR):
```
LiTb2ThHg4
1.0
-4.307 2.154 -1.737
-2.498 -2.095 -3.947
-7.054 -4.970 3.782
Hg Tb Th Li
4 2 1 1
Direct
0.871 0.871 0.387 Hg
0.129 0.129 0.613 Hg
0.618 0.618 0.147 Hg
0.382 0.382 0.853 Hg
0.757 0.757 0.730 Tb
0.243 0.243 0.270 Tb
0.000 0.000 0.000 Th
0.500 0.500 0.500 Li
```

No. 2
KSrTa: relaxed, PBE.

The density of states at the Fermi level comes out at 2.53 states/eV/f.u. For the energy above the most stable polymorph in this dataset, the calculation gives 4.08 eV per formula unit. The value obtained for the total energy is -9.35 eV for the cell shown. The value obtained for the spin magnetization is 5.909 μB/f.u.

Structure (POSCAR):
```
KSrTa
1.0
1.476 -2.022 5.295
-3.982 -0.151 4.292
-2.104 -5.139 1.863
Sr K Ta
1 1 1
Direct
0.750 0.750 0.750 Sr
0.250 0.250 0.250 K
0.500 0.500 0.500 Ta
```

No. 3
ThInPdPt: relaxed, PBE.

The density of states at the Fermi level comes out at 3.28 states/eV/f.u. The value obtained for the total energy is -24.69 eV for the cell shown. The value obtained for the spin magnetization is 0.000 μB/f.u.

Structure (POSCAR):
```
ThInPdPt
1.0
4.948 0.000 0.000
2.474 4.285 0.000
2.474 1.428 4.040
In Pd Th Pt
1 1 1 1
Direct
0.000 0.000 0.000 In
0.250 0.250 0.250 Pd
0.500 0.500 0.500 Th
0.750 0.750 0.750 Pt
```

No. 4
CdHg2Se: relaxed, PBE.

The formation energy without anion corrections comes out at 0.11 eV per atom. The density of states at the Fermi level comes out at 1.57 states/eV/f.u. The value obtained for the total energy is -4.58 eV for the cell shown. The value obtained for the spin magnetization is 0.000 μB/f.u.

Structure (POSCAR):
```
CdHg2Se
1.0
-0.858 -1.846 -2.088
-0.181 -3.128 2.839
-7.579 1.812 1.513
Se Hg Cd
1 2 1
Direct
0.500 0.500 0.250 Se
0.000 0.000 0.499 Hg
0.000 0.000 0.001 Hg
0.500 0.500 0.750 Cd
```

No. 5
Na2TeH10O8: relaxed, PBE.

The density of states at the Fermi level comes out at 0.00 states/eV/f.u. The value obtained for the total energy is -415.64 eV for the cell shown. The value obtained for the spin magnetization is 0.000 μB/f.u.

Structure (POSCAR):
```
Na2TeH10O8
1.0
-3.648 -6.138 1.995
7.016 -0.700 -3.100
5.989 1.909 16.825
H O Na Te
40 32 8 4
Direct
0.438 0.603 0.962 H
0.092 0.683 0.653 H
0.448 0.318 0.342 H
0.808 0.928 0.457 H
0.376 0.529 0.044 H
0.591 0.683 0.153 H
0.203 0.103 0.848 H
0.624 0.471 0.956 H
0.255 0.690 0.354 H
0.880 0.072 0.043 H
0.908 0.317 0.347 H
0.552 0.682 0.658 H
0.237 0.108 0.345 H
0.870 0.318 0.842 H
0.530 0.311 0.647 H
0.562 0.397 0.038 H
0.409 0.317 0.847 H
0.159 0.998 0.457 H
0.781 0.311 0.147 H
0.839 0.998 0.957 H
0.797 0.897 0.152 H
0.835 0.397 0.538 H
0.129 0.892 0.155 H
0.900 0.103 0.348 H
0.152 0.529 0.544 H
0.165 0.603 0.462 H
0.565 0.310 0.146 H
0.841 0.002 0.543 H
0.763 0.892 0.655 H
0.871 0.108 0.845 H
0.161 0.002 0.043 H
0.470 0.689 0.353 H
0.192 0.072 0.543 H
0.435 0.690 0.854 H
0.120 0.928 0.957 H
0.848 0.471 0.456 H
0.100 0.897 0.652 H
0.219 0.689 0.853 H
0.745 0.310 0.646 H
0.130 0.682 0.158 H
0.022 0.061 0.619 O
0.249 0.601 0.505 O
0.826 0.173 0.330 O
0.352 0.601 0.005 O
0.978 0.939 0.381 O
0.381 0.170 0.330 O
0.751 0.399 0.495 O
0.654 0.827 0.170 O
0.037 0.436 0.130 O
0.575 0.569 0.880 O
0.600 0.564 0.370 O
0.619 0.830 0.670 O
0.346 0.173 0.830 O
0.963 0.564 0.870 O
0.648 0.399 0.995 O
0.211 0.830 0.170 O
0.174 0.827 0.670 O
0.961 0.939 0.881 O
0.630 0.227 0.155 O
0.370 0.773 0.845 O
0.994 0.569 0.380 O
0.210 0.943 0.001 O
0.267 0.057 0.499 O
0.733 0.943 0.501 O
0.597 0.227 0.655 O
0.790 0.057 0.999 O
0.039 0.061 0.119 O
0.403 0.773 0.345 O
0.789 0.170 0.830 O
0.006 0.431 0.620 O
0.400 0.436 0.630 O
0.425 0.431 0.120 O
0.441 0.917 0.577 Na
0.500 0.500 0.500 Na
0.476 0.917 0.077 Na
0.000 0.500 0.000 Na
0.524 0.083 0.923 Na
0.481 0.000 0.750 Na
0.519 0.000 0.250 Na
0.559 0.083 0.423 Na
0.177 0.317 0.173 Te
0.860 0.683 0.327 Te
0.823 0.683 0.827 Te
0.140 0.317 0.673 Te
```

No. 6
YHfNb: relaxed, PBE.

The density of states at the Fermi level comes out at 3.63 states/eV/f.u. For the energy above the most stable polymorph in this dataset, the calculation gives 0.00 eV per formula unit. The value obtained for the total energy is -25.95 eV for the cell shown. The value obtained for the spin magnetization is 0.000 μB/f.u.

Structure (POSCAR):
```
YHfNb
1.0
-0.405 -3.527 0.889
3.167 -0.782 -1.658
1.245 3.015 4.995
Y Nb Hf
1 1 1
Direct
0.003 0.003 0.007 Y
0.696 0.696 0.392 Nb
0.301 0.301 0.601 Hf
```

No. 7
RbSiB: relaxed, PBE.

The formation energy without anion corrections comes out at 0.21 eV per atom. The density of states at the Fermi level comes out at 0.96 states/eV/f.u. The value obtained for the total energy is -24.88 eV for the cell shown. The value obtained for the spin magnetization is 0.000 μB/f.u.

Structure (POSCAR):
```
RbSiB
1.0
7.919 -0.044 0.030
-1.432 4.592 0.002
1.712 0.533 4.916
Rb B Si
2 2 2
Direct
0.201 0.002 0.134 Rb
0.773 0.288 0.848 Rb
0.487 0.980 0.491 B
0.487 0.310 0.491 B
0.318 0.561 0.575 Si
0.655 0.729 0.407 Si
```

No. 8
PrDyHo2Tm: relaxed, PBE.

The density of states at the Fermi level comes out at 7.08 states/eV/f.u. The value obtained for the total energy is -42.18 eV for the cell shown. The value obtained for the spin magnetization is 0.000 μB/f.u.

Structure (POSCAR):
```
PrDyHo2Tm
1.0
7.197 0.000 0.000
0.000 8.378 0.000
0.000 -4.189 5.727
Ho Pr Tm Dy
4 2 2 2
Direct
0.000 0.310 0.000 Ho
0.500 0.690 0.000 Ho
0.000 0.690 0.000 Ho
0.500 0.310 0.000 Ho
0.750 0.271 0.543 Pr
0.250 0.729 0.457 Pr
0.750 0.721 0.441 Tm
0.250 0.279 0.559 Tm
0.250 0.000 0.000 Dy
0.750 0.000 0.000 Dy
```

Repeat the first record exactly.
LiTb2ThHg4: relaxed, PBE.

The density of states at the Fermi level comes out at 7.10 states/eV/f.u. The value obtained for the total energy is -22.75 eV for the cell shown. The value obtained for the spin magnetization is 0.000 μB/f.u.

Structure (POSCAR):
```
LiTb2ThHg4
1.0
-4.307 2.154 -1.737
-2.498 -2.095 -3.947
-7.054 -4.970 3.782
Hg Tb Th Li
4 2 1 1
Direct
0.871 0.871 0.387 Hg
0.129 0.129 0.613 Hg
0.618 0.618 0.147 Hg
0.382 0.382 0.853 Hg
0.757 0.757 0.730 Tb
0.243 0.243 0.270 Tb
0.000 0.000 0.000 Th
0.500 0.500 0.500 Li
```

Which value of spin magnetization does entry 4 give? 0.000 μB/f.u.

Among the records above, which one has the highest spin magnetization? KSrTa

Among the records above, which one has the highest density of states at the Fermi level? LiTb2ThHg4